[1]
4
Lattice="0.000 3.647 3.647 3.647 0.000 3.647 3.647 3.647 0.000" Properties=species:S:1:pos:R:3 comment="Sb2PtI, optimized geometry, DFT PBE" polymorph_energy_ev_per_atom=0.719 space_group="Fm-3m (225)" e_form_raw_ev_per_atom=0.422 pbc="T T T"
Sb 1.824 1.824 1.824
Sb 5.471 5.471 5.471
Pt 0.000 0.000 0.000
I 3.647 3.647 3.647

---

[2]
4
Lattice="2.082 1.202 7.595 -2.082 1.202 7.595 0.000 -2.405 7.595" Properties=species:S:1:pos:R:3 comment="Sb2PtI, optimized geometry, DFT PBE" polymorph_energy_ev_per_atom=0.000 space_group="R-3m (166)" e_form_raw_ev_per_atom=-0.296 pbc="T T T"
Sb 0.000 0.000 5.062
Sb 0.000 0.000 17.724
Pt 0.000 0.000 11.393
I 0.000 0.000 0.000